Computed, not measured: a relaxed structure of RbAs3Ru at the PBE level of DFT.

Lattice parameters (Å, degrees): 5.2731 5.2731 5.2731 90.00 90.00 90.00
Atoms (fractional coordinates):
Rb1 0.0000 0.0000 0.0000
As1 0.0000 0.0000 0.5000
As2 0.0000 0.5000 0.0000
As3 0.5000 0.0000 0.0000
Ru1 0.5000 0.5000 0.5000

Values from the calculation:
Space-group type = Pm-3m, No. 221
Energy above the most stable polymorph in this dataset = 2.2599 eV per atom
E_form = 2.520 eV/atom
M_tot = 0.0 μB/cell
Final energy = -11.6 eV per cell